(1)
TaMoN3: relaxed, PBE-GGA.

E in eV per atom: -8.926
Total moment in μB/atom: 0.40
Fermi-level density of states in states/eV/atom: 0.174

Lattice parameters (Å, degrees): 4.0058 4.0058 4.0058 90.00 90.00 90.00
With the nearest neighbours (Å) after each atom.
Space group Pm-3m (No. 221)
One atom of each set of equivalent atoms:
Ta  0.0000  0.0000  0.0000 (multiplicity 1)  6 N 2.00
Mo  0.5000  0.5000  0.5000 (multiplicity 1)  12 N 2.83
N  0.0000  0.0000  0.5000 (multiplicity 3)  2 Ta 2.00



(2)
TaMoN3: relaxed, PBE-GGA.

E in eV per atom: -10.095
Total moment in μB/atom: 0.00
Fermi-level density of states in states/eV/atom: 0.267

Lattice parameters (Å, degrees): 11.3147 3.0538 6.9811 90.00 105.83 90.00
With the nearest neighbours (Å) after each atom.
Space group C2/m (No. 12)
One atom of each set of equivalent atoms:
Ta  0.1324  0.0000  0.3427 (multiplicity 4)  3 N 1.95-2.07
Mo  0.1716  0.5000  0.8632 (multiplicity 4)  6 N 2.03-2.27
N  0.0205  0.5000  0.3027 (multiplicity 4)  2 Ta 1.95, 1 Mo 2.17
N  0.1354  0.0000  0.0305 (multiplicity 4)  3 Mo 2.03-2.11, 1 Ta 2.19
N  0.2108  0.0000  0.6477 (multiplicity 4)  1 Ta 2.07, 2 Mo 2.27



(3)
TaMoN2: relaxed, PBE-GGA.

E in eV per atom: -9.824
Total moment in μB/atom: 0.00
Fermi-level density of states in states/eV/atom: 1.501

Lattice parameters (Å, degrees): 5.4663 5.4663 5.4663 90.00 90.00 90.00
With the nearest neighbours (Å) after each atom.
Space group Fm-3m (No. 225)
One atom of each set of equivalent atoms:
Ta  0.0000  0.0000  0.0000 (multiplicity 4)  8 N 2.37
Mo  0.0000  0.0000  0.5000 (multiplicity 4)  8 N 2.37
N  0.2500  0.2500  0.2500 (multiplicity 8)  4 Ta 2.37, 4 Mo 2.37



(4)
Ta4MoN: relaxed, PBE-GGA.

E in eV per atom: -11.216
Total moment in μB/atom: 0.00
Fermi-level density of states in states/eV/atom: 0.624

Lattice parameters (Å, degrees): 5.7376 5.3505 6.5678 90.00 103.48 90.00
With the nearest neighbours (Å) after each atom.
Space group P2_1/c (No. 14)
One atom of each set of equivalent atoms:
Ta  0.0951  0.1509  0.1987 (multiplicity 4)  2 N 2.27-2.32
Ta  0.3473  0.5959  0.1230 (multiplicity 4)  1 N 2.03
Mo  0.5000  0.0000  0.0000 (multiplicity 2)  4 Ta 2.48-2.53
N  0.0000  0.0000  0.5000 (multiplicity 2)  4 Ta 2.03-2.27



(5)
TaMoN2: relaxed, PBE-GGA.

E in eV per atom: -10.215
Total moment in μB/atom: 0.23
Fermi-level density of states in states/eV/atom: 0.562

Lattice parameters (Å, degrees): 4.7578 4.7578 9.3351 90.00 90.00 90.00
With the nearest neighbours (Å) after each atom.
Space group I-42d (No. 122)
One atom of each set of equivalent atoms:
Ta  0.0000  0.0000  0.0000 (multiplicity 4)  4 N 2.02
Mo  0.0000  0.0000  0.5000 (multiplicity 4)  4 N 2.08
N  0.2396  0.2500  0.1250 (multiplicity 8)  2 Ta 2.02, 2 Mo 2.08



(6)
Ta3MoN: relaxed, PBE-GGA.

E in eV per atom: -8.484
Total moment in μB/atom: 0.00
Fermi-level density of states in states/eV/atom: 0.396

Lattice parameters (Å, degrees): 4.8034 4.8034 4.8034 90.00 90.00 90.00
With the nearest neighbours (Å) after each atom.
Space group Pm-3m (No. 221)
One atom of each set of equivalent atoms:
Ta  0.0000  0.0000  0.5000 (multiplicity 3)  2 Mo 2.40
Mo  0.0000  0.0000  0.0000 (multiplicity 1)  6 Ta 2.40
N  0.5000  0.5000  0.5000 (multiplicity 1)  12 Ta 3.40



(7)
TaMoN3: relaxed, PBE-GGA.

E in eV per atom: -8.868
Total moment in μB/atom: 0.00
Fermi-level density of states in states/eV/atom: 0.873

Lattice parameters (Å, degrees): 3.8725 3.8725 3.8725 90.00 90.00 90.00
With the nearest neighbours (Å) after each atom.
Space group Pm-3m (No. 221)
One atom of each set of equivalent atoms:
Ta  0.0000  0.0000  0.0000 (multiplicity 1)  12 N 2.74
Mo  0.5000  0.5000  0.5000 (multiplicity 1)  6 N 1.94
N  0.0000  0.5000  0.5000 (multiplicity 3)  2 Mo 1.94



(8)
TaMo3N: relaxed, PBE-GGA.

E in eV per atom: -10.672
Total moment in μB/atom: 0.00
Fermi-level density of states in states/eV/atom: 0.993

Lattice parameters (Å, degrees): 4.1659 4.1659 4.1659 90.00 90.00 90.00
With the nearest neighbours (Å) after each atom.
Space group Pm-3m (No. 221)
One atom of each set of equivalent atoms:
Ta  0.0000  0.0000  0.0000 (multiplicity 1)  12 Mo 2.95
Mo  0.0000  0.5000  0.5000 (multiplicity 3)  2 N 2.08
N  0.5000  0.5000  0.5000 (multiplicity 1)  6 Mo 2.08



(9)
Ta2TiMoN: relaxed, PBE-GGA.

E in eV per atom: -10.668
Total moment in μB/atom: 0.00
Fermi-level density of states in states/eV/atom: 0.800

Lattice parameters (Å, degrees): 4.3861 4.3861 3.8804 90.00 90.00 90.00
With the nearest neighbours (Å) after each atom.
Space group P4/mmm (No. 123)
One atom of each set of equivalent atoms:
Ta  0.0000  0.5000  0.0000 (multiplicity 2)  2 N 2.19
Ti  0.0000  0.0000  0.5000 (multiplicity 1)  2 N 1.94
Mo  0.5000  0.5000  0.5000 (multiplicity 1)  8 Ta 2.93, 4 Ti 3.10
N  0.0000  0.0000  0.0000 (multiplicity 1)  2 Ti 1.94



(10)
TaV2MoN: relaxed, PBE-GGA.

E in eV per atom: -10.262
Total moment in μB/atom: 0.00
Fermi-level density of states in states/eV/atom: 1.033

Lattice parameters (Å, degrees): 3.9288 3.9288 4.3541 90.00 90.00 90.00
With the nearest neighbours (Å) after each atom.
Space group P4/mmm (No. 123)
One atom of each set of equivalent atoms:
Ta  0.0000  0.0000  0.0000 (multiplicity 1)  2 N 2.18
V  0.0000  0.5000  0.5000 (multiplicity 2)  2 N 1.96
Mo  0.5000  0.5000  0.0000 (multiplicity 1)  4 Ta 2.78, 8 V 2.93
N  0.0000  0.0000  0.5000 (multiplicity 1)  4 V 1.96, 2 Ta 2.18



(11)
Tb2Mo2N7: relaxed, PBE-GGA.

E in eV per atom: -8.466
Total moment in μB/atom: 0.28
Fermi-level density of states in states/eV/atom: 0.433

Lattice parameters (Å, degrees): 7.1961 9.5740 5.4100 90.00 102.50 90.00
With the nearest neighbours (Å) after each atom.
Space group C2/m (No. 12)
One atom of each set of equivalent atoms:
Tb  0.0000  0.1925  0.0000 (multiplicity 4)  6 N 2.35-2.41
Mo  0.2358  0.5000  0.4043 (multiplicity 4)  4 N 1.85-1.90
N  0.0000  0.5000  0.5000 (multiplicity 2)  2 Mo 1.88
N  0.0849  0.0000  0.2820 (multiplicity 4)  1 Mo 1.90
N  0.2417  0.3409  0.2130 (multiplicity 8)  1 Mo 1.85



(12)
TbMo4N6: relaxed, PBE-GGA.

E in eV per atom: -9.453
Total moment in μB/atom: 0.00
Fermi-level density of states in states/eV/atom: 0.440

Lattice parameters (Å, degrees): 3.2579 9.7924 15.1772 90.00 90.00 90.00
With the nearest neighbours (Å) after each atom.
Space group Cmcm (No. 63)
One atom of each set of equivalent atoms:
Tb  0.0000  0.1479  0.2500 (multiplicity 4)  8 N 2.46-2.60
Mo  0.0000  0.1082  0.6260 (multiplicity 8)  6 N 1.95-2.19
Mo  0.0000  0.3458  0.5422 (multiplicity 8)  4 N 2.05-2.23
N  0.0000  0.0000  0.0000 (multiplicity 4)  6 Mo 2.19-2.31
N  0.0000  0.1619  0.7500 (multiplicity 4)  2 Mo 1.95
N  0.0000  0.2548  0.0928 (multiplicity 8)  5 Mo 2.05-2.23
N  0.0000  0.4688  0.6547 (multiplicity 8)  3 Mo 2.09-2.17